A plane-wave DFT calculation with PBE was carried out for a geometry-optimized LaEuNiAg structure.

DOS(E_F) (states/eV/atom): 2.09
Formation energy from the elements (meV per atom): -177

Lattice parameters (Å, degrees): 7.3537 7.3537 7.3537 90.00 90.00 90.00
Space group F-43m (No. 216)
One atom of each set of equivalent atoms:
La: 0.0000 0.0000 0.0000
Eu: 0.0000 0.0000 0.5000
Ni: 0.2500 0.2500 0.7500
Ag: 0.2500 0.2500 0.2500


A plane-wave DFT calculation with PBE was carried out for a geometry-optimized LaEuAgPb structure.

DOS(E_F) (states/eV/atom): 2.70
Formation energy from the elements (meV per atom): -475

Lattice parameters (Å, degrees): 7.8461 7.8461 7.8461 90.00 90.00 90.00
Space group F-43m (No. 216)
One atom of each set of equivalent atoms:
La: 0.0000 0.0000 0.0000
Eu: 0.0000 0.0000 0.5000
Ag: 0.2500 0.2500 0.2500
Pb: 0.2500 0.2500 0.7500